Rb3Mn2PbF9: optimized geometry, PBE with a Hubbard U. Values from VASP.

The structure in Quantum ESPRESSO input format:
```
&SYSTEM
  ibrav = 0, nat = 15, ntyp = 4
/
ATOMIC_SPECIES
Rb 85.47 Rb.upf
Mn 54.94 Mn.upf
Pb 207.20 Pb.upf
F 19.00 F.upf
CELL_PARAMETERS angstrom
6.301 0.000 0.000
-3.151 5.457 0.000
0.000 0.000 7.870
ATOMIC_POSITIONS crystal
Rb 0.000 0.000 0.000
Rb 0.333 0.667 0.684
Rb 0.667 0.333 0.316
Mn 0.333 0.667 0.152
Mn 0.667 0.333 0.848
Pb 0.000 0.000 0.500
F 0.000 0.500 0.000
F 0.176 0.352 0.311
F 0.176 0.824 0.311
F 0.352 0.176 0.689
F 0.500 0.000 0.000
F 0.500 0.500 0.000
F 0.648 0.824 0.311
F 0.824 0.176 0.689
F 0.824 0.648 0.689
```

Summary:
Its size of the total moment is 10.00 μB per formula unit. As for the total energy: -78.53 eV/cell.